VASP calculation (PBE-GGA) on an optimized crystal structure of Nd8AgHg2.

Summary:
relative energy among the computed polymorphs = 0.51 kcal/mol of atoms
density = 7.99 Mg/m³
D(E_F) = 11.30 states/eV per cell
DFT formation energy = -17.4 kJ per mole of atoms
calculated total energy = -3.96 eV/atom
symmetry = C2/m, No. 12

POSCAR file:
```
Nd8AgHg2
1.0
9.397 -2.664 0.000
9.397 2.664 0.000
-1.830 0.000 6.906
Nd Ag Hg
8 1 2
direct
0.021 0.021 0.268
0.199 0.199 0.814
0.338 0.338 0.527
0.410 0.410 0.040
0.590 0.590 0.960
0.662 0.662 0.473
0.801 0.801 0.186
0.979 0.979 0.732
0.500 0.500 0.500
0.184 0.184 0.232
0.816 0.816 0.768
```